Record 1
LaPr4Er3S8 GGA-PBE optimized geometry; ΔE_f (raw) = -2010 meV per atom; M_tot = 0.0 μB/f.u.
1.0
3.9991 2.3089 6.6628
-3.9991 2.3089 6.6628
0.0000 -4.6177 6.6628
La Pr Er S
1 4 3 8
Direct
0.0000 0.0000 0.0000 La
0.0000 0.0000 0.5000 Pr
0.0000 0.5000 0.0000 Pr
0.5000 0.0000 0.0000 Pr
0.5000 0.5000 0.5000 Pr
0.0000 0.5000 0.5000 Er
0.5000 0.0000 0.5000 Er
0.5000 0.5000 0.0000 Er
0.2502 0.2502 0.7332 S
0.2502 0.7332 0.2502 S
0.2579 0.2579 0.2579 S
0.2668 0.7498 0.7498 S
0.7332 0.2502 0.2502 S
0.7421 0.7421 0.7421 S
0.7498 0.2668 0.7498 S
0.7498 0.7498 0.2668 S

Record 2
Ag2HgMo GGA-PBE optimized geometry; M_tot = 0.9 μB/f.u.; ΔE_f = 0.572 eV per atom
1.0
2.8238 0.0000 0.0000
0.0000 5.1400 0.0000
0.0000 0.0000 10.1841
Ag Hg Mo
4 2 2
Direct
0.0000 0.0000 0.0000 Ag
0.0000 0.5000 0.2510 Ag
0.5000 0.0000 0.7510 Ag
0.5000 0.5000 0.5000 Ag
0.0000 0.5000 0.7531 Hg
0.5000 0.0000 0.2531 Hg
0.0000 0.0000 0.5024 Mo
0.5000 0.5000 0.0024 Mo

Record 3
ZrSc2Rh2 GGA-PBE optimized geometry; M_tot = 0.0 μB/f.u.; distance to the lowest polymorph of the same formula = 25 kJ/mol of formula units; ΔE_f = -0.634 eV per atom
1.0
3.2871 0.0000 0.0000
0.0000 19.4332 0.0000
0.0000 0.0000 3.0987
Zr Sc Rh
2 4 4
Direct
0.0000 0.0000 0.0000 Zr
0.5000 0.5000 0.0000 Zr
0.0000 0.1718 0.0000 Sc
0.0000 0.8282 0.0000 Sc
0.5000 0.3282 0.0000 Sc
0.5000 0.6718 0.0000 Sc
0.0000 0.4098 0.5000 Rh
0.0000 0.5901 0.5000 Rh
0.5000 0.0901 0.5000 Rh
0.5000 0.9098 0.5000 Rh

Record 4
NiHg2Mo GGA-PBE optimized geometry; M_tot = 1.4 μB/f.u.; distance to the lowest polymorph of the same formula = 142 kJ/mol of formula units; ΔE_f = 0.649 eV per atom
1.0
4.1887 0.0000 0.0000
0.0000 4.1887 0.0000
0.0000 0.0000 7.9156
Ni Hg Mo
2 4 2
Direct
0.0000 0.0000 0.0000 Ni
0.5000 0.5000 0.5000 Ni
0.0000 0.0000 0.5000 Hg
0.0000 0.5000 0.7500 Hg
0.5000 0.0000 0.2500 Hg
0.5000 0.5000 0.0000 Hg
0.0000 0.5000 0.2500 Mo
0.5000 0.0000 0.7500 Mo

Record 5
PaNbCuSi2 GGA-PBE optimized geometry; ΔE_f (raw) = -404 meV per atom; M_tot = 0.0 μB/f.u.
1.0
3.9335 0.0000 0.0000
0.0000 3.9335 0.0000
0.0000 0.0000 11.3013
Pa Nb Cu Si
2 2 2 4
Direct
0.0000 0.0000 0.0000 Pa
0.5000 0.5000 0.5000 Pa
0.0000 0.5000 0.2500 Nb
0.5000 0.0000 0.7500 Nb
0.0000 0.5000 0.7500 Cu
0.5000 0.0000 0.2500 Cu
0.0000 0.0000 0.3936 Si
0.0000 0.0000 0.6064 Si
0.5000 0.5000 0.1064 Si
0.5000 0.5000 0.8936 Si

Record 6
La5Pr6Sm GGA-PBE optimized geometry; M_tot = 0.0 μB/f.u.; ΔE_f = 0.012 eV per atom
1.0
3.2230 -5.5866 0.0000
3.2230 5.5866 0.0000
-2.1800 0.0000 12.1235
La Pr Sm
5 6 1
Direct
0.0000 0.0000 0.0000 La
0.1669 0.8331 0.5000 La
0.3337 0.6663 0.0000 La
0.6663 0.3337 0.0000 La
0.8331 0.1669 0.5000 La
0.0846 0.4172 0.2508 Pr
0.2500 0.2500 0.7490 Pr
0.4172 0.0846 0.2508 Pr
0.5828 0.9154 0.7492 Pr
0.7500 0.7500 0.2510 Pr
0.9154 0.5828 0.7492 Pr
0.5000 0.5000 0.5000 Sm

Record 7
AcSn2Au2 GGA-PBE optimized geometry; M_tot = 0.0 μB/f.u.; ΔE_f = -0.639 eV per atom
1.0
4.7748 0.0000 0.0000
0.0000 4.7748 0.0000
0.0000 0.0000 11.3447
Ac Sn Au
2 4 4
Direct
0.2500 0.2500 0.2375 Ac
0.7500 0.7500 0.7625 Ac
0.2500 0.2500 0.8723 Sn
0.2500 0.7500 0.5000 Sn
0.7500 0.2500 0.5000 Sn
0.7500 0.7500 0.1277 Sn
0.2500 0.2500 0.6357 Au
0.2500 0.7500 0.0000 Au
0.7500 0.2500 0.0000 Au
0.7500 0.7500 0.3643 Au

Record 8
EuEr2Ru GGA-PBE optimized geometry; M_tot = 7.4 μB/f.u.; distance to the lowest polymorph of the same formula = 108 kJ/mol of formula units; ΔE_f = 0.027 eV per atom
1.0
3.7392 0.0000 0.0000
-1.8696 3.2383 0.0000
0.0000 0.0000 31.3545
Eu Er Ru
3 6 3
Direct
0.0000 0.0000 0.0000 Eu
0.3333 0.6667 0.6667 Eu
0.6667 0.3333 0.3333 Eu
0.0000 0.0000 0.1144 Er
0.0000 0.0000 0.8856 Er
0.3333 0.6667 0.5523 Er
0.3333 0.6667 0.7810 Er
0.6667 0.3333 0.2190 Er
0.6667 0.3333 0.4477 Er
0.0000 0.0000 0.5000 Ru
0.3333 0.6667 0.1667 Ru
0.6667 0.3333 0.8333 Ru

Record 9
TiPb2I GGA-PBE optimized geometry; ΔE_f (raw) = 566 meV per atom; M_tot = 2.0 μB/f.u.; distance to the lowest polymorph of the same formula = 40 kJ/mol of formula units
1.0
7.7994 0.0000 0.0000
0.0000 7.7994 0.0000
0.0000 0.0000 7.7994
Ti Pb I
4 8 4
Direct
0.0000 0.0000 0.0000 Ti
0.0000 0.5000 0.5000 Ti
0.5000 0.0000 0.5000 Ti
0.5000 0.5000 0.0000 Ti
0.2500 0.2500 0.2500 Pb
0.2500 0.2500 0.7500 Pb
0.2500 0.7500 0.2500 Pb
0.2500 0.7500 0.7500 Pb
0.7500 0.2500 0.2500 Pb
0.7500 0.2500 0.7500 Pb
0.7500 0.7500 0.2500 Pb
0.7500 0.7500 0.7500 Pb
0.0000 0.0000 0.5000 I
0.0000 0.5000 0.0000 I
0.5000 0.0000 0.0000 I
0.5000 0.5000 0.5000 I

Record 10
Sc2RuCl GGA-PBE optimized geometry; ΔE_f (raw) = -568 meV per atom; M_tot = 0.0 μB/f.u.; distance to the lowest polymorph of the same formula = 164 kJ/mol of formula units
1.0
3.1151 0.0000 0.0000
0.0000 4.7908 0.0000
0.0000 0.0000 4.8015
Sc Ru Cl
2 1 1
Direct
0.0000 0.0000 0.0000 Sc
0.0000 0.5000 0.5000 Sc
0.5000 0.0000 0.5000 Ru
0.5000 0.5000 0.0000 Cl

Record 11
Ca6Cd32Cu GGA-PBE optimized geometry; M_tot = 0.0 μB/f.u.; ΔE_f = -0.207 eV per atom
1.0
9.7175 0.0000 0.0000
0.0000 9.7175 0.0000
0.0000 0.0000 9.7175
Ca Cd Cu
6 32 1
Direct
0.0000 0.2948 0.5000 Ca
0.0000 0.7052 0.5000 Ca
0.2948 0.5000 0.0000 Ca
0.5000 0.0000 0.2948 Ca
0.5000 0.0000 0.7052 Ca
0.7052 0.5000 0.0000 Ca
0.0000 0.0000 0.2414 Cd
0.0000 0.0000 0.7586 Cd
0.0000 0.2414 0.0000 Cd
0.0000 0.5000 0.1758 Cd
0.0000 0.5000 0.8242 Cd
0.0000 0.7586 0.0000 Cd
0.1758 0.0000 0.5000 Cd
0.2186 0.2186 0.2186 Cd
0.2186 0.2186 0.7814 Cd
0.2186 0.7814 0.2186 Cd
0.2186 0.7814 0.7814 Cd
0.2405 0.5000 0.3498 Cd
0.2405 0.5000 0.6502 Cd
0.2414 0.0000 0.0000 Cd
0.3498 0.2405 0.5000 Cd
0.3498 0.7595 0.5000 Cd
0.5000 0.1758 0.0000 Cd
0.5000 0.3498 0.2405 Cd
0.5000 0.3498 0.7595 Cd
0.5000 0.6502 0.2405 Cd
0.5000 0.6502 0.7595 Cd
0.5000 0.8242 0.0000 Cd
0.6502 0.2405 0.5000 Cd
0.6502 0.7595 0.5000 Cd
0.7586 0.0000 0.0000 Cd
0.7595 0.5000 0.3498 Cd
0.7595 0.5000 0.6502 Cd
0.7814 0.2186 0.2186 Cd
0.7814 0.2186 0.7814 Cd
0.7814 0.7814 0.2186 Cd
0.7814 0.7814 0.7814 Cd
0.8242 0.0000 0.5000 Cd
0.5000 0.5000 0.5000 Cu

Record 12
KRb3Mo GGA-PBE optimized geometry; M_tot = 5.6 μB/f.u.; distance to the lowest polymorph of the same formula = 0 kJ/mol of formula units; ΔE_f = 1.002 eV per atom
1.0
7.3618 0.0000 0.0000
0.0000 7.3618 0.0000
0.0000 0.0000 7.3618
K Rb Mo
1 3 1
Direct
0.0000 0.0000 0.0000 K
0.0000 0.5000 0.5000 Rb
0.5000 0.0000 0.5000 Rb
0.5000 0.5000 0.0000 Rb
0.5000 0.5000 0.5000 Mo

Record 13
Ho3Zn GGA-PBE optimized geometry; M_tot = 0.0 μB/f.u.; distance to the lowest polymorph of the same formula = 58 kJ/mol of formula units; ΔE_f = -0.010 eV per atom
1.0
4.6740 0.0000 0.0000
0.0000 4.6740 0.0000
0.0000 0.0000 9.5692
Ho Zn
6 2
Direct
0.0000 0.0000 0.0000 Ho
0.0000 0.5000 0.2500 Ho
0.0000 0.5000 0.7500 Ho
0.5000 0.0000 0.2500 Ho
0.5000 0.0000 0.7500 Ho
0.5000 0.5000 0.5000 Ho
0.0000 0.0000 0.5000 Zn
0.5000 0.5000 0.0000 Zn

Record 14
Sb3H2 GGA-PBE optimized geometry; M_tot = 0.0 μB/f.u.; E = -3.531 eV per atom
1.0
0.0000 7.9303 2.4127
5.8531 0.0000 2.4127
5.8531 7.9303 0.0000
Sb H
6 4
Direct
0.0000 0.0000 0.0000 Sb
0.2229 0.5985 0.5262 Sb
0.2500 0.2500 0.2500 Sb
0.5985 0.2229 0.6524 Sb
0.5976 0.7238 0.6515 Sb
0.7238 0.5976 0.0271 Sb
0.2561 0.6225 0.8266 H
0.4234 0.9553 0.9939 H
0.6225 0.2561 0.2947 H
0.9553 0.4234 0.6275 H

Record 15
InGe6Se8 GGA-PBE optimized geometry; ΔE_f (raw) = -213 meV per atom; M_tot = 0.0 μB/f.u.
1.0
4.6989 2.7129 5.2106
-4.6989 2.7129 5.2106
0.0000 -5.4258 5.2106
In Ge Se
1 6 8
Direct
0.0000 0.0000 0.0000 In
0.1232 0.3654 0.6019 Ge
0.3654 0.6019 0.1232 Ge
0.3981 0.8768 0.6346 Ge
0.6019 0.1232 0.3654 Ge
0.6346 0.3981 0.8768 Ge
0.8768 0.6346 0.3981 Ge
0.1357 0.8217 0.3252 Se
0.1783 0.6748 0.8643 Se
0.2822 0.2822 0.2822 Se
0.3252 0.1357 0.8217 Se
0.6748 0.8643 0.1783 Se
0.7178 0.7178 0.7178 Se
0.8217 0.3252 0.1357 Se
0.8643 0.1783 0.6748 Se

Record 16
Cs2KF4 GGA-PBE optimized geometry; ΔE_f (raw) = -2283 meV per atom; M_tot = 1.1 μB/f.u.
1.0
4.9578 0.0000 0.0000
0.0000 4.9578 0.0000
0.0000 0.0000 14.9438
Cs K F
4 2 8
Direct
0.0000 0.0000 0.1382 Cs
0.0000 0.0000 0.8618 Cs
0.5000 0.5000 0.3618 Cs
0.5000 0.5000 0.6382 Cs
0.0000 0.0000 0.5000 K
0.5000 0.5000 0.0000 K
0.0000 0.0000 0.3250 F
0.0000 0.0000 0.6750 F
0.0000 0.5000 0.0000 F
0.0000 0.5000 0.5000 F
0.5000 0.0000 0.0000 F
0.5000 0.0000 0.5000 F
0.5000 0.5000 0.1750 F
0.5000 0.5000 0.8250 F

Record 17
Pm2PuTl3S6 GGA-PBE optimized geometry; ΔE_f (raw) = -1364 meV per atom; M_tot = 5.0 μB/f.u.
1.0
3.5838 -6.2076 0.0000
3.5838 6.2076 0.0000
-2.3886 0.0000 7.4740
Pm Pu Tl S
2 1 3 6
Direct
0.1667 0.8333 0.0000 Pm
0.8333 0.1667 0.0000 Pm
0.5000 0.5000 0.0000 Pu
0.0000 0.0000 0.5000 Tl
0.3328 0.6672 0.5000 Tl
0.6672 0.3328 0.5000 Tl
0.1042 0.4331 0.7993 S
0.2383 0.2383 0.2019 S
0.4331 0.1042 0.7993 S
0.5669 0.8958 0.2007 S
0.7617 0.7617 0.7981 S
0.8958 0.5669 0.2007 S

Record 18
LiSm2ThHg4 GGA-PBE optimized geometry; M_tot = 0.0 μB/f.u.; ΔE_f = -0.368 eV per atom
1.0
2.5986 1.5003 8.9081
-2.5986 1.5003 8.9081
0.0000 -3.0006 8.9081
Li Sm Th Hg
1 2 1 4
Direct
0.0000 0.0000 0.0000 Li
0.2559 0.2559 0.2559 Sm
0.7441 0.7441 0.7441 Sm
0.5000 0.5000 0.5000 Th
0.1201 0.1201 0.1201 Hg
0.3720 0.3720 0.3720 Hg
0.6280 0.6280 0.6280 Hg
0.8799 0.8799 0.8799 Hg